An optimized crystal structure of YPaGeO6, computed with GGA-PBE.

Values from the calculation:
The space-group type is P-31c, No. 163. The density of states at the Fermi level is 0.000 states/eV per atom. The value obtained for the raw total energy is -151.94 eV for the cell shown.

The structure in POSCAR format:
```
YPaGeO6
1.0
5.382 0.000 0.000
-2.691 4.661 0.000
0.000 0.000 9.457
Y Pa Ge O
2 2 2 12
direct
0.333 0.667 0.250
0.667 0.333 0.750
0.000 0.000 0.000
0.000 0.000 0.500
0.667 0.333 0.250
0.333 0.667 0.750
0.688 0.640 0.133
0.953 0.312 0.133
0.312 0.953 0.633
0.047 0.688 0.867
0.360 0.312 0.367
0.953 0.640 0.367
0.640 0.953 0.867
0.688 0.047 0.367
0.047 0.360 0.633
0.360 0.047 0.133
0.640 0.688 0.633
0.312 0.360 0.867
```

An optimized crystal structure of Y2PaGeO8, computed with GGA-PBE.

Values from the calculation:
The space-group type is Cmmm, No. 65. The density of states at the Fermi level is 0.524 states/eV per atom. The value obtained for the raw total energy is -100.26 eV for the cell shown.

The structure in POSCAR format:
```
Y2PaGeO8
1.0
5.001 -0.080 -0.003
-0.067 5.001 -0.006
0.004 0.008 6.742
Y Pa Ge O
2 1 1 8
direct
0.500 0.500 0.763
0.500 0.500 0.237
0.000 0.000 0.500
0.000 0.000 0.000
0.180 0.820 0.225
0.731 0.731 0.000
0.820 0.180 0.225
0.820 0.180 0.775
0.269 0.269 0.000
0.180 0.820 0.775
0.699 0.699 0.500
0.301 0.301 0.500
```

An optimized crystal structure of PaZnGeO6, computed with GGA-PBE.

Values from the calculation:
The space-group type is P-31c, No. 163. The density of states at the Fermi level is 0.554 states/eV per atom. The value obtained for the raw total energy is -125.72 eV for the cell shown.

The structure in POSCAR format:
```
PaZnGeO6
1.0
-1.622 -2.441 -4.521
4.956 -0.895 1.915
-3.033 -6.711 4.711
Pa Zn Ge O
2 2 2 12
direct
0.333 0.667 0.250
0.667 0.333 0.750
0.000 0.000 0.000
0.000 0.000 0.500
0.667 0.333 0.250
0.333 0.667 0.750
0.675 0.638 0.130
0.963 0.325 0.130
0.325 0.963 0.630
0.037 0.675 0.870
0.362 0.325 0.370
0.963 0.638 0.370
0.638 0.963 0.870
0.675 0.037 0.370
0.037 0.362 0.630
0.362 0.037 0.130
0.638 0.675 0.630
0.325 0.362 0.870
```

An optimized crystal structure of GePbO2, computed with GGA-PBE.

Values from the calculation:
The space-group type is Fm-3m, No. 225. The density of states at the Fermi level is 0.000 states/eV per atom. The value obtained for the raw total energy is -19.88 eV for the cell shown.

The structure in POSCAR format:
```
GePbO2
1.0
4.329 -0.145 0.462
1.775 -2.441 3.140
2.180 -3.627 -1.031
Pb Ge O
1 1 2
direct
0.500 0.500 0.500
0.000 0.000 0.000
0.250 0.250 0.250
0.750 0.750 0.750
```

An optimized crystal structure of Ge4PbO9, computed with GGA-PBE.

Values from the calculation:
The space-group type is C2, No. 5. The density of states at the Fermi level is 0.000 states/eV per atom. The value obtained for the raw total energy is -88.84 eV for the cell shown.

The structure in POSCAR format:
```
Ge4PbO9
1.0
-1.394 3.492 -5.799
-5.520 -1.469 3.891
-1.356 4.227 1.586
Ge Pb O
4 1 9
direct
0.488 0.512 0.500
0.487 0.070 0.319
0.308 0.692 0.000
0.930 0.513 0.681
0.000 0.000 0.000
0.091 0.459 0.395
0.541 0.909 0.605
0.287 0.924 0.158
0.554 0.712 0.136
0.076 0.713 0.842
0.288 0.446 0.864
0.378 0.229 0.485
0.755 0.245 0.000
0.771 0.622 0.515
```

An optimized crystal structure of GePb3O5, computed with GGA-PBE.

Values from the calculation:
The space-group type is P2_1, No. 4. The density of states at the Fermi level is 0.000 states/eV per atom. The value obtained for the raw total energy is -105.19 eV for the cell shown.

The structure in POSCAR format:
```
GePb3O5
1.0
10.708 0.000 0.000
0.000 5.428 0.013
0.000 0.337 5.645
Ge Pb O
2 6 10
direct
0.241 0.969 0.443
0.741 0.031 0.557
0.003 0.973 0.940
0.503 0.027 0.060
0.749 0.499 0.015
0.519 0.520 0.504
0.019 0.480 0.496
0.249 0.501 0.985
0.404 0.924 0.464
0.056 0.371 0.892
0.160 0.824 0.691
0.660 0.176 0.309
0.904 0.076 0.536
0.556 0.629 0.108
0.206 0.291 0.397
0.180 0.826 0.190
0.706 0.709 0.603
0.680 0.174 0.810
```

An optimized crystal structure of Ge3Pb3O10, computed with GGA-PBE.

Values from the calculation:
The space-group type is P-1, No. 2. The value obtained for the raw total energy is -194.43 eV for the cell shown.

The structure in POSCAR format:
```
Ge3Pb3O10
1.0
7.167 -0.675 1.735
-2.609 8.496 3.433
0.263 0.516 9.504
Ge Pb O
6 6 20
direct
0.848 0.606 0.132
0.979 0.132 0.263
0.243 0.263 0.605
0.152 0.394 0.868
0.021 0.868 0.737
0.757 0.737 0.395
0.490 0.163 0.306
0.797 0.306 0.532
0.328 0.532 0.162
0.510 0.837 0.694
0.203 0.694 0.468
0.672 0.468 0.838
0.721 0.700 0.232
0.953 0.232 0.069
0.023 0.069 0.697
0.279 0.300 0.768
0.047 0.768 0.931
0.977 0.931 0.303
0.968 0.501 0.249
0.215 0.249 0.252
0.468 0.252 0.500
0.032 0.499 0.751
0.785 0.751 0.748
0.532 0.748 0.500
0.655 0.471 0.111
0.766 0.112 0.418
0.186 0.419 0.470
0.345 0.529 0.889
0.234 0.888 0.582
0.814 0.581 0.530
0.564 0.991 0.952
0.436 0.009 0.048
```

An optimized crystal structure of Ge2Pb2O5, computed with GGA-PBE.

Values from the calculation:
The space-group type is C2/m, No. 12. The density of states at the Fermi level is 0.240 states/eV per atom. The value obtained for the raw total energy is -52.27 eV for the cell shown.

The structure in POSCAR format:
```
Ge2Pb2O5
1.0
3.122 0.000 -0.678
0.152 7.175 0.698
-0.055 2.357 7.270
Ge Pb O
2 2 5
direct
0.876 0.035 0.751
0.124 0.965 0.249
0.636 0.453 0.272
0.364 0.547 0.728
0.641 0.083 0.282
0.359 0.917 0.718
0.804 0.299 0.608
0.196 0.701 0.392
0.000 0.000 0.000
```

Which formation energy from raw total energies belongs to each record? In order, -2849; -2796; -1969; -409; -1574; -1340; -1416; -1203 meV per atom.